# ZrBe2P | Alexandria via LeMat-Bulk | PBE-GGA | optimized geometry
data_ZrBe2P
_cell_length_a 6.725
_cell_length_b 6.725
_cell_length_c 5.058
_cell_angle_alpha 90.00
_cell_angle_beta 90.00
_cell_angle_gamma 90.00
_space_group_name_H-M_alt 'I -4 2 d'
_space_group_IT_number 122
_space_group_name_Hall 'I -4 2bw'
loop_
_atom_site_label
_atom_site_type_symbol
_atom_site_fract_x
_atom_site_fract_y
_atom_site_fract_z
Zr1 Zr 0.000 0.000 0.000
Be1 Be 0.185 0.750 0.625
P1 P 0.000 0.000 0.500
# - formation enthalpy at 0 K (eV per atom) = -0.143
# - ρ (Mg/m³) = 4.071
# - uncorrected energy (eV per cell) = -87.94
# - total moment (μB per formula unit) = 0.00
# - DOS(E_F) (states/eV/f.u.) = 1.75

# Ac2Mg3Cd12Hg | Alexandria via LeMat-Bulk | PBE-GGA | optimized geometry
data_Ac2Mg3Cd12Hg
_cell_length_a 6.6456
_cell_length_b 6.6456
_cell_length_c 38.6004
_cell_angle_alpha 90.00
_cell_angle_beta 90.00
_cell_angle_gamma 120.00
_space_group_name_H-M_alt 'R -3 m'
_space_group_IT_number 166
_space_group_name_Hall '-R 3 2"'
loop_
_atom_site_label
_atom_site_type_symbol
_atom_site_fract_x
_atom_site_fract_y
_atom_site_fract_z
Ac1 Ac 0.0000 0.0000 0.1407
Mg1 Mg 0.0000 0.5000 0.0000
Cd1 Cd 0.0126 0.5063 0.8896
Cd2 Cd 0.0360 0.5180 0.6122
Hg1 Hg 0.0000 0.0000 0.5000
# - formation enthalpy at 0 K (eV per atom) = -0.048
# - ρ (Mg/m³) = 7.006
# - uncorrected energy (eV per cell) = -75.46
# - total moment (μB per formula unit) = 0.00
# - DOS(E_F) (states/eV/f.u.) = 9.47

# CdPtPbO4 | Alexandria via LeMat-Bulk | PBE-GGA | optimized geometry
data_CdPtPbO4
_cell_length_a 6.236
_cell_length_b 6.607
_cell_length_c 10.568
_cell_angle_alpha 90.00
_cell_angle_beta 90.00
_cell_angle_gamma 90.00
_space_group_name_H-M_alt 'I m m a'
_space_group_IT_number 74
_space_group_name_Hall '-I 2b 2'
loop_
_atom_site_label
_atom_site_type_symbol
_atom_site_fract_x
_atom_site_fract_y
_atom_site_fract_z
Cd1 Cd 0.000 0.250 0.169
Pt1 Pt 0.250 0.250 0.750
Pb1 Pb 0.000 0.000 0.500
O1 O 0.000 0.053 0.718
O2 O 0.228 0.250 0.462
# - ρ (Mg/m³) = 8.829
# - uncorrected energy (eV per cell) = -141.10
# - total moment (μB per formula unit) = 0.00
# - DOS(E_F) (states/eV/f.u.) = 2.45
# - formation energy from raw total energies (kJ per mole of atoms) = -65.86

# NbIrSe3 | Alexandria via LeMat-Bulk | PBE-GGA | optimized geometry
data_NbIrSe3
_cell_length_a 4.820
_cell_length_b 4.820
_cell_length_c 4.820
_cell_angle_alpha 90.00
_cell_angle_beta 90.00
_cell_angle_gamma 90.00
_space_group_name_H-M_alt 'P m -3 m'
_space_group_IT_number 221
_space_group_name_Hall '-P 4 2 3'
loop_
_atom_site_label
_atom_site_type_symbol
_atom_site_fract_x
_atom_site_fract_y
_atom_site_fract_z
Nb1 Nb 0.000 0.000 0.000
Ir1 Ir 0.500 0.500 0.500
Se1 Se 0.000 0.500 0.500
# - ρ (Mg/m³) = 7.742
# - excess energy over the best structure of this formula in the dataset (meV per atom) = 0.0
# - uncorrected energy (eV per cell) = -25.35
# - total moment (μB per formula unit) = 0.00
# - DOS(E_F) (states/eV/f.u.) = 7.99
# - formation energy from raw total energies (kJ per mole of atoms) = 77.81

# LiHf2MgRh4 | Alexandria via LeMat-Bulk | PBE-GGA | optimized geometry
data_LiHf2MgRh4
_cell_length_a 4.4564
_cell_length_b 4.4564
_cell_length_c 21.8658
_cell_angle_alpha 90.00
_cell_angle_beta 90.00
_cell_angle_gamma 120.00
_space_group_name_H-M_alt 'R -3 m'
_space_group_IT_number 166
_space_group_name_Hall '-R 3 2"'
loop_
_atom_site_label
_atom_site_type_symbol
_atom_site_fract_x
_atom_site_fract_y
_atom_site_fract_z
Li1 Li 0.0000 0.0000 0.0000
Hf1 Hf 0.0000 0.0000 0.2521
Mg1 Mg 0.0000 0.0000 0.5000
Rh1 Rh 0.0000 0.0000 0.1245
Rh2 Rh 0.0000 0.0000 0.3747
# - formation enthalpy at 0 K (eV per atom) = -0.802
# - ρ (Mg/m³) = 10.595
# - uncorrected energy (eV per cell) = -177.71
# - total moment (μB per formula unit) = 0.00
# - DOS(E_F) (states/eV/f.u.) = 3.98

# MgOsRh2 | Alexandria via LeMat-Bulk | PBE-GGA | optimized geometry
data_MgOsRh2
_cell_length_a 3.829
_cell_length_b 3.829
_cell_length_c 7.966
_cell_angle_alpha 90.00
_cell_angle_beta 90.00
_cell_angle_gamma 90.00
_space_group_name_H-M_alt 'I -4 m 2'
_space_group_IT_number 119
_space_group_name_Hall 'I -4 -2'
loop_
_atom_site_label
_atom_site_type_symbol
_atom_site_fract_x
_atom_site_fract_y
_atom_site_fract_z
Mg1 Mg 0.000 0.000 0.000
Os1 Os 0.000 0.500 0.750
Rh1 Rh 0.000 0.000 0.500
Rh2 Rh 0.000 0.500 0.250
# - formation enthalpy at 0 K (eV per atom) = 0.019
# - ρ (Mg/m³) = 11.955
# - uncorrected energy (eV per cell) = -54.90
# - total moment (μB per formula unit) = 0.00
# - DOS(E_F) (states/eV/f.u.) = 4.51